No. 1
Density functional theory data (PBE) for a relaxed structure of La3Pm5Tm.

* volume: 666.3 Å³ per cell
* formation enthalpy at 0 K: 345.0 kJ/mol of formula units

abc: 7.4272 7.4272 13.2789
angles: 77.17 77.17 71.00
Last column: nearest neighbours and their distance in Å.
Sites, in units of the cell vectors:
La  0.5598  0.5598  0.7869  3 Pm 3.14-3.15, 1 La 3.27
La  0.7265  0.7265  0.5469  2 Pm 3.19-3.55, 2 La 3.19-3.27
La  0.0000  0.0000  0.5000  2 La 3.19
La  0.2735  0.2735  0.4531  2 Pm 3.19-3.55, 2 La 3.19-3.27
La  0.4402  0.4402  0.2131  3 Pm 3.14-3.15, 1 La 3.27
La  0.0000  0.0000  0.0000  2 Pm 2.73
Pm  0.6838  0.3162  0.0000  1 La 2.73
Pm  0.6441  0.0249  0.7801  3 Pm 3.28-3.50
Pm  0.5787  0.5787  0.3817  2 La 3.14-3.19, 3 Pm 3.20-3.41
Pm  0.9751  0.3559  0.2199  3 Pm 3.28-3.50
Pm  0.0249  0.6441  0.7801  3 Pm 3.28-3.50
Pm  0.3162  0.6838  0.0000  1 La 2.73
Pm  0.7358  0.7358  0.0432  1 La 3.09, 2 Pm 3.45
Pm  0.3559  0.9751  0.2199  3 Pm 3.28-3.50
Pm  0.2642  0.2642  0.9568  1 La 3.09, 2 Pm 3.45
Pm  0.4213  0.4213  0.6183  2 La 3.14-3.19, 3 Pm 3.20-3.41
Tm  0.8793  0.8793  0.2644  3 La 3.42-3.80, 4 Pm 3.54-3.80
Tm  0.1207  0.1207  0.7356  3 La 3.42-3.80, 4 Pm 3.54-3.80



No. 2
Density functional theory data (PBE) for a relaxed structure of H5Rh2.

* volume: 92.4 Å³ per cell

abc: 4.1552 4.5556 5.3575
angles: 97.96 112.82 90.00
Last column: nearest neighbours and their distance in Å.
Sites, in units of the cell vectors:
H  0.7645  0.3394  0.4407  3 Rh 1.83-1.85
H  0.7955  0.5665  0.8424  2 Rh 1.76
H  0.4491  0.7500  0.0000  4 Rh 1.90-1.95, 2 H 2.06
H  0.0469  0.0665  0.8424  2 Rh 1.76
H  0.3238  0.1606  0.5593  3 Rh 1.83-1.85
H  0.5509  0.2500  0.0000  4 Rh 1.90-1.95, 2 H 2.06
H  0.2045  0.4335  0.1576  2 Rh 1.76
H  0.2355  0.6606  0.5593  3 Rh 1.83-1.85
H  0.9531  0.9335  0.1576  2 Rh 1.76
H  0.6762  0.8394  0.4407  3 Rh 1.83-1.85
Rh  0.1417  0.4124  0.7677  7 H 1.76-1.95
Rh  0.3740  0.0876  0.2323  7 H 1.76-1.95
Rh  0.8583  0.5876  0.2323  7 H 1.76-1.95
Rh  0.6260  0.9124  0.7677  7 H 1.76-1.95



no.,M_tot (μB/atom),final energy (eV/atom)
1,0.000,-4.381
2,0.000,-4.430